# 1
A relaxed CrP2Os crystal. Source: Alexandria via LeMat-Bulk, functional GGA-PBEsol.

Lattice parameters (Å, degrees): 2.830 2.827 7.409 90.00 90.00 120.03
Element x y z (fractional)
Os: 0.500 0.000 0.000
P: 0.000 0.000 0.263
P: 0.000 0.000 0.737
Cr: 0.500 0.000 0.500

Summary:
- M_tot: 0.00 μB per formula unit
- Space group: Cmmm
- ΔE to the lowest computed polymorph: 0.522 eV per atom

---

# 2
A relaxed CrPOs2 crystal. Source: Alexandria via LeMat-Bulk, functional GGA-PBEsol.

Lattice parameters (Å, degrees): 4.191 4.191 4.191 60.00 60.00 60.00
Element x y z (fractional)
P: 0.250 0.250 0.250
Os: 0.750 0.750 0.750
Os: 0.000 0.000 0.000
Cr: 0.500 0.500 0.500

Summary:
- M_tot: 0.00 μB per formula unit
- Space group: F-43m
- Total DFT energy (no corrections): -9.728 eV per atom

---

# 3
A relaxed CrP2Os crystal. Source: Alexandria via LeMat-Bulk, functional GGA-PBEsol.

Lattice parameters (Å, degrees): 2.877 4.057 4.193 90.00 90.00 90.00
Element x y z (fractional)
P: 0.500 0.018 0.000
P: 0.000 0.245 0.500
Cr: 0.000 0.492 0.000
Os: 0.500 0.745 0.500

Summary:
- M_tot: 0.00 μB per formula unit
- Space group: Pmm2
- ΔE to the lowest computed polymorph: 0.000 eV per atom

---

# 4
A relaxed CrPOs crystal. Source: Alexandria via LeMat-Bulk, functional GGA-PBEsol.

Lattice parameters (Å, degrees): 2.737 2.737 5.948 97.15 97.15 117.33
Element x y z (fractional)
Cr: 0.987 0.987 0.975
Os: 0.674 0.674 0.348
P: 0.338 0.338 0.677

Summary:
- M_tot: 0.87 μB per formula unit
- Space group: Fmm2
- Total DFT energy (no corrections): -9.091 eV per atom

---

# 5
A relaxed CrPOs2 crystal. Source: Alexandria via LeMat-Bulk, functional GGA-PBEsol.

Lattice parameters (Å, degrees): 2.822 2.822 6.331 90.00 90.00 90.00
Element x y z (fractional)
P: 0.500 0.500 0.000
Os: 0.000 0.000 0.771
Os: 0.000 0.000 0.229
Cr: 0.500 0.500 0.500

Summary:
- M_tot: 0.00 μB per formula unit
- Space group: P4/mmm
- Total DFT energy (no corrections): -10.130 eV per atom

---

# 6
A relaxed CrPOs crystal. Source: Alexandria via LeMat-Bulk, functional GGA-PBEsol.

Lattice parameters (Å, degrees): 2.729 3.996 3.996 120.00 90.00 90.00
Element x y z (fractional)
Cr: 0.500 0.000 0.000
Os: 0.000 0.667 0.333
P: 0.000 0.333 0.667

Summary:
- M_tot: 0.93 μB per formula unit
- Space group: P-6m2
- Total DFT energy (no corrections): -9.556 eV per atom

---

# 7
A relaxed CrP2Os crystal. Source: Alexandria via LeMat-Bulk, functional GGA-PBEsol.

Lattice parameters (Å, degrees): 2.870 2.870 7.362 78.76 78.76 60.00
Element x y z (fractional)
Os: 0.256 0.256 0.232
P: 0.753 0.753 0.742
P: 0.000 0.000 0.999
Cr: 0.491 0.491 0.527

Summary:
- M_tot: 0.00 μB per formula unit
- Space group: R3m
- ΔE to the lowest computed polymorph: 0.254 eV per atom

---

# 8
A relaxed Cr2POs2 crystal. Source: Alexandria via LeMat-Bulk, functional GGA-PBEsol.

Lattice parameters (Å, degrees): 3.710 3.710 5.939 108.20 108.20 90.00
Element x y z (fractional)
Cr: 0.605 0.605 0.209
Cr: 0.395 0.395 0.791
Os: 0.750 0.250 0.500
Os: 0.250 0.750 0.500
P: 0.000 0.000 0.000

Summary:
- M_tot: 0.00 μB per formula unit
- Space group: I4/mmm
- Total DFT energy (no corrections): -9.444 eV per atom

---

# 9
A relaxed CrOs2Pb crystal. Source: Alexandria via LeMat-Bulk, functional GGA-PBEsol.

Lattice parameters (Å, degrees): 2.855 2.855 9.031 80.90 80.90 60.00
Element x y z (fractional)
Pb: 0.503 0.503 0.492
Os: 0.998 0.998 0.007
Os: 0.743 0.743 0.772
Cr: 0.257 0.257 0.229

Summary:
- M_tot: 0.00 μB per formula unit
- Space group: R3m
- Total DFT energy (no corrections): -8.847 eV per atom

---

# 10
A relaxed Cr3OsPb crystal. Source: Alexandria via LeMat-Bulk, functional GGA-PBEsol.

Lattice parameters (Å, degrees): 4.928 4.928 4.928 90.00 90.00 90.00
Element x y z (fractional)
Cr: 0.000 0.000 0.500
Cr: 0.000 0.500 0.000
Cr: 0.500 0.000 0.000
Pb: 0.000 0.000 0.000
Os: 0.500 0.500 0.500

Summary:
- M_tot: 9.89 μB per formula unit
- Space group: Pm-3m
- Total DFT energy (no corrections): -6.721 eV per atom

---

# 11
A relaxed CrOs2Pb crystal. Source: Alexandria via LeMat-Bulk, functional GGA-PBEsol.

Lattice parameters (Å, degrees): 2.838 4.562 5.582 114.12 104.73 90.00
Element x y z (fractional)
Pb: 0.500 0.000 0.000
Cr: 0.000 0.500 0.000
Os: 0.716 0.716 0.433
Os: 0.284 0.284 0.567

Summary:
- M_tot: 1.91 μB per formula unit
- Space group: Immm
- Total DFT energy (no corrections): -8.882 eV per atom

---

# 12
A relaxed CrOs2Pb crystal. Source: Alexandria via LeMat-Bulk, functional GGA-PBEsol.

Lattice parameters (Å, degrees): 2.859 2.859 9.132 80.99 80.99 60.00
Element x y z (fractional)
Os: 0.263 0.263 0.211
Os: 0.737 0.737 0.789
Pb: 0.500 0.500 0.500
Cr: 0.000 0.000 0.000

Summary:
- M_tot: 0.00 μB per formula unit
- Space group: R-3m
- Total DFT energy (no corrections): -8.955 eV per atom